Crystalline Pr6Y3Sc at its relaxed geometry, computed with PBE.

Unit cell a=11.758 b=3.592 c=17.069 alpha=90.00 beta=109.03 gamma=90.00
Fractional coordinates of all 20 atoms:
Pr 0.095 0.250 0.455
Pr 0.134 0.250 0.089
Pr 0.141 0.250 0.881
Pr 0.341 0.750 0.605
Pr 0.369 0.750 0.821
Pr 0.400 0.750 0.244
Pr 0.600 0.250 0.756
Pr 0.631 0.250 0.179
Pr 0.659 0.250 0.395
Pr 0.859 0.750 0.119
Pr 0.866 0.750 0.911
Pr 0.905 0.750 0.545
Y 0.131 0.750 0.286
Y 0.375 0.250 0.425
Y 0.382 0.750 0.032
Y 0.618 0.250 0.968
Y 0.625 0.750 0.575
Y 0.869 0.250 0.714
Sc 0.143 0.250 0.677
Sc 0.857 0.750 0.323

Summary:
* energy relative to the lowest polymorph listed for this composition: 0.0 meV/atom
* formation energy from the elements: 71 meV per atom
* M_tot: 0.00 μB per formula unit
* SG: P2_1/m (11)
* final energy: -5.369 eV per atom



Crystalline Pu2MgAu3 at its relaxed geometry, computed with PBE.

Unit cell a=3.313 b=3.313 c=11.795 alpha=90.00 beta=90.00 gamma=90.00
Fractional coordinates of all 6 atoms:
Pu 0.000 0.000 0.180
Pu 0.000 0.000 0.820
Mg 0.000 0.000 0.500
Au 0.500 0.500 0.000
Au 0.500 0.500 0.361
Au 0.500 0.500 0.639

Summary:
* formation energy from the elements: -463 meV per atom
* M_tot: 11.71 μB per formula unit
* SG: P4/mmm (123)
* final energy: -7.144 eV per atom